{"formula": "BW", "functional": "meta-GGA SCAN", "state": "PBEsol geometry", "lattice": [[-1.561, 1.561, 8.439], [1.561, -1.561, 8.439], [1.561, 1.561, -8.439]], "species": ["B", "B", "B", "B", "W", "W", "W", "W"], "fractional_positions": [[0.031, 0.281, 0.750], [0.281, 0.031, 0.250], [0.719, 0.969, 0.750], [0.969, 0.719, 0.250], [0.178, 0.428, 0.750], [0.428, 0.178, 0.250], [0.572, 0.822, 0.750], [0.822, 0.572, 0.250]], "volume_a3_per_cell": 82, "dos_ef_per_ev_fu": 0.6, "density_g_cm3": 15.723, "dft_energy_ev_per_atom": -38.857}

=====

{"formula": "ZrAs2OsSe", "functional": "meta-GGA SCAN", "state": "PBEsol geometry", "lattice": [[5.088, 0.000, 0.000], [0.000, 5.088, 0.000], [0.000, 0.000, 4.937]], "species": ["Zr", "As", "As", "Os", "Se"], "fractional_positions": [[0.000, 0.000, 0.000], [0.000, 0.500, 0.000], [0.500, 0.000, 0.000], [0.500, 0.500, 0.500], [0.000, 0.000, 0.500]], "volume_a3_per_cell": 128, "e_form_raw_ev_per_atom": 1.207, "dos_ef_per_ev_fu": 3.4, "density_g_cm3": 6.630, "dft_energy_ev_per_atom": -31.401}